# 1
An optimized crystal structure of CeIO6. Source: Alexandria, functional PBE.

```
CeIO6
1.0
2.902 1.676 4.744
-2.902 1.676 4.744
0.000 -3.351 4.744
Ce I O
1 1 6
direct
0.000 0.000 0.000 Ce
0.500 0.500 0.500 I
0.270 0.272 0.729 O
0.271 0.730 0.728 O
0.272 0.729 0.270 O
0.728 0.271 0.730 O
0.729 0.270 0.272 O
0.730 0.728 0.271 O
```

## Properties
* formation energy from raw total energies: -1.2293 eV/atom
* total DFT energy (no corrections): -5.88 eV/atom

# 2
An optimized crystal structure of DyCo2PH. Source: Alexandria, functional PBE.

```
DyCo2PH
1.0
1.793 -5.019 0.000
1.793 5.019 0.000
0.000 0.000 6.611
Dy Co P H
2 4 2 2
direct
0.056 0.944 0.750 Dy
0.944 0.056 0.250 Dy
0.333 0.667 0.559 Co
0.333 0.667 0.941 Co
0.667 0.333 0.059 Co
0.667 0.333 0.441 Co
0.225 0.775 0.250 P
0.775 0.225 0.750 P
0.500 0.500 0.000 H
0.500 0.500 0.500 H
```

## Properties
* total DFT energy (no corrections): -6.28 eV/atom